Here is SrPuS2O8 after structural relaxation from Alexandria via LeMat-Bulk. Energies are from PBE.

The structure in POSCAR format:
```
SrPuS2O8
1.0
5.3284 0.0000 0.0000
-2.6642 4.6145 0.0000
0.0000 0.0000 7.9113
Sr Pu S O
1 1 2 8
direct
0.0000 0.0000 0.0000 Sr
0.0000 0.0000 0.5000 Pu
0.3333 0.6667 0.2032 S
0.6667 0.3333 0.7968 S
0.1806 0.3612 0.2662 O
0.1806 0.8194 0.2662 O
0.3333 0.6667 0.0163 O
0.3612 0.1806 0.7338 O
0.6388 0.8194 0.2662 O
0.6667 0.3333 0.9837 O
0.8194 0.1806 0.7338 O
0.8194 0.6388 0.7338 O
```

The value obtained for the total magnetization is 0.499 μB per atom. Its uncorrected formation energy is -23.53 eV per formula unit. The calculation puts the total energy at -7.29 eV/atom. As for the crystal system: trigonal. The space-group type is No. 164.

=====

Here is PuTiSO2 after structural relaxation from Alexandria via LeMat-Bulk. Energies are from PBE.

The structure in POSCAR format:
```
PuTiSO2
1.0
3.8287 0.0000 0.0000
0.0000 3.8287 0.0000
0.0000 0.0000 5.5781
Pu Ti S O
1 1 1 2
direct
0.0000 0.0000 0.0000 Pu
0.5000 0.5000 0.3569 Ti
0.5000 0.5000 0.7797 S
0.0000 0.5000 0.2601 O
0.5000 0.0000 0.2601 O
```

The value obtained for the total magnetization is 1.199 μB per atom. Its uncorrected formation energy is -12.54 eV per formula unit. The calculation puts the total energy at -9.76 eV/atom. As for the crystal system: tetragonal. The space-group type is No. 99.

=====

Here is PuUS2O after structural relaxation from Alexandria via LeMat-Bulk. Energies are from PBE.

The structure in POSCAR format:
```
PuUS2O
1.0
3.8433 0.0000 0.0000
0.0000 3.8433 0.0000
0.0000 0.0000 13.3120
Pu U S O
2 2 4 2
direct
0.2500 0.2500 0.0950 Pu
0.7500 0.7500 0.9050 Pu
0.2500 0.2500 0.6055 U
0.7500 0.7500 0.3945 U
0.2500 0.2500 0.3936 S
0.2500 0.2500 0.8033 S
0.7500 0.7500 0.1967 S
0.7500 0.7500 0.6064 S
0.2500 0.7500 0.0000 O
0.7500 0.2500 0.0000 O
```

The value obtained for the total magnetization is 1.402 μB per atom. Its uncorrected formation energy is -10.03 eV per formula unit. The calculation puts the total energy at -9.77 eV/atom. As for the crystal system: tetragonal. The space-group type is No. 129.

=====

Here is YPuSO2 after structural relaxation from Alexandria via LeMat-Bulk. Energies are from PBE.

The structure in POSCAR format:
```
YPuSO2
1.0
-1.8941 1.8941 6.0212
1.8941 -1.8941 6.0212
1.8941 1.8941 -6.0212
Y Pu S O
1 1 1 2
direct
0.0000 0.0000 0.0000 Y
0.7044 0.7044 0.0000 Pu
0.3498 0.3498 0.0000 S
0.0974 0.5974 0.5000 O
0.5974 0.0974 0.5000 O
```

The value obtained for the total magnetization is 1.000 μB per atom. Its uncorrected formation energy is -13.75 eV per formula unit. The calculation puts the total energy at -9.72 eV/atom. As for the crystal system: tetragonal. The space-group type is No. 107.

=====

Here is PuZrS2O after structural relaxation from Alexandria via LeMat-Bulk. Energies are from PBE.

The structure in POSCAR format:
```
PuZrS2O
1.0
3.7183 0.0000 0.0000
0.0000 3.7183 0.0000
0.0000 0.0000 12.9813
Pu Zr S O
2 2 4 2
direct
0.2500 0.2500 0.1020 Pu
0.7500 0.7500 0.8980 Pu
0.2500 0.2500 0.5923 Zr
0.7500 0.7500 0.4077 Zr
0.2500 0.2500 0.3869 S
0.2500 0.2500 0.7941 S
0.7500 0.7500 0.2059 S
0.7500 0.7500 0.6131 S
0.2500 0.7500 0.0000 O
0.7500 0.2500 0.0000 O
```

The value obtained for the total magnetization is 0.919 μB per atom. Its uncorrected formation energy is -10.36 eV per formula unit. The calculation puts the total energy at -9.29 eV/atom. As for the crystal system: tetragonal. The space-group type is No. 129.

=====

Here is Pu3Sb2O after structural relaxation from Alexandria via LeMat-Bulk. Energies are from PBE.

The structure in POSCAR format:
```
Pu3Sb2O
1.0
3.2215 -6.2280 0.0000
3.2215 6.2280 0.0000
-0.2873 0.0000 15.4705
Pu Sb O
12 8 4
direct
0.0680 0.9320 0.7500 Pu
0.0947 0.4210 0.6319 Pu
0.1312 0.3637 0.0331 Pu
0.3637 0.1312 0.5331 Pu
0.4183 0.5817 0.2500 Pu
0.4210 0.0947 0.1319 Pu
0.5790 0.9053 0.8681 Pu
0.5817 0.4183 0.7500 Pu
0.6363 0.8688 0.4669 Pu
0.8688 0.6363 0.9669 Pu
0.9053 0.5790 0.3681 Pu
0.9320 0.0680 0.2500 Pu
0.0545 0.4377 0.8312 Sb
0.1474 0.3513 0.4332 Sb
0.3513 0.1474 0.9332 Sb
0.4377 0.0545 0.3312 Sb
0.5623 0.9455 0.6688 Sb
0.6487 0.8526 0.0668 Sb
0.8526 0.6487 0.5668 Sb
0.9455 0.5623 0.1688 Sb
0.2452 0.2723 0.1523 O
0.2723 0.2452 0.6523 O
0.7277 0.7548 0.3477 O
0.7548 0.7277 0.8477 O
```

The value obtained for the total magnetization is 1.774 μB per atom. Its uncorrected formation energy is -7.36 eV per formula unit. The value obtained for the distance to the lowest polymorph of the same formula is 0.000 eV per atom. The calculation puts the total energy at -10.59 eV/atom. As for the crystal system: monoclinic. The space-group type is No. 15.

=====

Here is PuSbO5 after structural relaxation from Alexandria via LeMat-Bulk. Energies are from PBE.

The structure in POSCAR format:
```
PuSbO5
1.0
-1.9532 3.2301 4.0024
1.9532 -3.2301 4.0024
1.9532 3.2301 -4.0024
Pu Sb O
1 1 5
direct
0.0000 0.0000 0.0000 Pu
0.5000 0.5000 0.0000 Sb
0.1969 0.5000 0.6969 O
0.2424 0.2424 0.0000 O
0.5000 0.0000 0.5000 O
0.7576 0.7576 0.0000 O
0.8031 0.5000 0.3031 O
```

The value obtained for the total magnetization is 0.429 μB per atom. Its uncorrected formation energy is -13.98 eV per formula unit. The calculation puts the total energy at -8.18 eV/atom. As for the crystal system: orthorhombic. The space-group type is No. 71.

=====

Here is Pu3Sb2O2 after structural relaxation from Alexandria via LeMat-Bulk. Energies are from PBE.

The structure in POSCAR format:
```
Pu3Sb2O2
1.0
6.1628 -2.0022 0.0000
6.1628 2.0022 0.0000
-3.9077 0.0000 6.3386
Pu Sb O
3 2 2
direct
0.0000 0.0000 0.0000 Pu
0.1955 0.1955 0.7621 Pu
0.8045 0.8045 0.2379 Pu
0.4345 0.4345 0.6456 Sb
0.5655 0.5655 0.3544 Sb
0.2032 0.2032 0.0803 O
0.7968 0.7968 0.9197 O
```

The value obtained for the total magnetization is 2.087 μB per atom. Its uncorrected formation energy is -12.62 eV per formula unit. The value obtained for the distance to the lowest polymorph of the same formula is 0.000 eV per atom. The calculation puts the total energy at -10.54 eV/atom. As for the crystal system: monoclinic. The space-group type is No. 12.

=====

Here is Pu2SbO after structural relaxation from Alexandria via LeMat-Bulk. Energies are from PBE.

The structure in POSCAR format:
```
Pu2SbO
1.0
2.0718 1.1962 5.3090
-2.0718 1.1962 5.3090
0.0000 -2.3923 5.3090
Pu Sb O
2 1 1
direct
0.1910 0.1910 0.1910 Pu
0.8090 0.8090 0.8090 Pu
0.0000 0.0000 0.0000 Sb
0.5000 0.5000 0.5000 O
```

The value obtained for the total magnetization is 0.303 μB per atom. Its uncorrected formation energy is -2.36 eV per formula unit. The value obtained for the distance to the lowest polymorph of the same formula is 1.045 eV per atom. The calculation puts the total energy at -10.03 eV/atom. As for the crystal system: trigonal. The space-group type is No. 166.

=====

Here is Pu3SbO3 after structural relaxation from Alexandria via LeMat-Bulk. Energies are from PBE.

The structure in POSCAR format:
```
Pu3SbO3
1.0
3.3758 1.9490 7.4464
-3.3758 1.9490 7.4464
0.0000 -3.8980 7.4464
Pu Sb O
6 2 6
direct
0.0536 0.7403 0.3995 Pu
0.2596 0.6005 0.9464 Pu
0.3995 0.0536 0.7404 Pu
0.6005 0.9464 0.2596 Pu
0.7403 0.3995 0.0536 Pu
0.9464 0.2596 0.6005 Pu
0.1665 0.1665 0.1665 Sb
0.8335 0.8335 0.8335 Sb
0.0493 0.3697 0.7001 O
0.2999 0.9507 0.6303 O
0.3697 0.7001 0.0493 O
0.6303 0.2999 0.9507 O
0.7001 0.0493 0.3697 O
0.9507 0.6303 0.2999 O
```

The value obtained for the total magnetization is 2.153 μB per atom. Its uncorrected formation energy is -16.22 eV per formula unit. The value obtained for the distance to the lowest polymorph of the same formula is 0.000 eV per atom. The calculation puts the total energy at -11.17 eV/atom. As for the crystal system: trigonal. The space-group type is No. 148.

=====

Here is PuSbO after structural relaxation from Alexandria via LeMat-Bulk. Energies are from PBE.

The structure in POSCAR format:
```
PuSbO
1.0
-1.7008 1.7008 10.6628
1.7008 -1.7008 10.6628
1.7008 1.7008 -10.6628
Pu Sb O
2 2 2
direct
0.1823 0.1823 0.0000 Pu
0.8177 0.8177 0.0000 Pu
0.4327 0.4327 0.0000 Sb
0.5673 0.5673 0.0000 Sb
0.2915 0.2915 0.0000 O
0.7085 0.7085 0.0000 O
```

The value obtained for the total magnetization is 1.796 μB per atom. Its uncorrected formation energy is -5.02 eV per formula unit. The value obtained for the distance to the lowest polymorph of the same formula is 0.012 eV per atom. The calculation puts the total energy at -9.48 eV/atom. As for the crystal system: tetragonal. The space-group type is No. 139.

=====

Here is Pu3SbO after structural relaxation from Alexandria via LeMat-Bulk. Energies are from PBE.

The structure in POSCAR format:
```
Pu3SbO
1.0
4.8713 0.0000 0.0000
0.0000 4.8713 0.0000
0.0000 0.0000 4.8713
Pu Sb O
3 1 1
direct
0.0000 0.0000 0.5000 Pu
0.0000 0.5000 0.0000 Pu
0.5000 0.0000 0.0000 Pu
0.5000 0.5000 0.5000 Sb
0.0000 0.0000 0.0000 O
```

The value obtained for the total magnetization is 3.712 μB per atom. Its uncorrected formation energy is -6.13 eV per formula unit. The calculation puts the total energy at -11.64 eV/atom. As for the crystal system: cubic. The space-group type is No. 221.

=====

Please write out number 1 again, unchanged.
Here is SrPuS2O8 after structural relaxation from Alexandria via LeMat-Bulk. Energies are from PBE.

The structure in POSCAR format:
```
SrPuS2O8
1.0
5.3284 0.0000 0.0000
-2.6642 4.6145 0.0000
0.0000 0.0000 7.9113
Sr Pu S O
1 1 2 8
direct
0.0000 0.0000 0.0000 Sr
0.0000 0.0000 0.5000 Pu
0.3333 0.6667 0.2032 S
0.6667 0.3333 0.7968 S
0.1806 0.3612 0.2662 O
0.1806 0.8194 0.2662 O
0.3333 0.6667 0.0163 O
0.3612 0.1806 0.7338 O
0.6388 0.8194 0.2662 O
0.6667 0.3333 0.9837 O
0.8194 0.1806 0.7338 O
0.8194 0.6388 0.7338 O
```

The value obtained for the total magnetization is 0.499 μB per atom. Its uncorrected formation energy is -23.53 eV per formula unit. The calculation puts the total energy at -7.29 eV/atom. As for the crystal system: trigonal. The space-group type is No. 164.

=====

> Which formula does entry 1 have?

SrPuS2O8

=====

> What is the formula in the third record?

PuUS2O

=====

> Which value of total energy does entry 3 give?

-9.77 eV/atom